No. 1
{"formula": "Ta2OsCl", "functional": "PBE-GGA", "state": "optimized geometry", "lattice": [[3.009, 0.000, 0.000], [0.000, 3.021, 0.000], [0.000, 0.000, 7.728]], "species": ["Ta", "Ta", "Os", "Cl"], "frac_coords": [[0.000, 0.000, 0.223], [0.000, 0.000, 0.777], [0.500, 0.500, 0.000], [0.500, 0.000, 0.500]], "raw_formation_energy_ev_per_atom": -0.091, "spacegroup": "No. 47", "dos_at_fermi_per_ev_atom": 0.773, "polymorph_energy_mev_per_atom": 0}


No. 2
{"formula": "BaScTe3Au", "functional": "PBE-GGA", "state": "optimized geometry", "lattice": [[8.734, 0.000, 0.000], [0.000, 4.397, 0.000], [-2.876, 0.000, 9.846]], "species": ["Ba", "Ba", "Sc", "Sc", "Te", "Te", "Te", "Te", "Te", "Te", "Au", "Au"], "frac_coords": [[0.215, 0.250, 0.270], [0.785, 0.750, 0.730], [0.317, 0.750, 0.839], [0.683, 0.250, 0.161], [0.099, 0.250, 0.870], [0.270, 0.750, 0.547], [0.447, 0.750, 0.141], [0.553, 0.250, 0.859], [0.730, 0.250, 0.453], [0.901, 0.750, 0.130], [0.081, 0.250, 0.595], [0.919, 0.750, 0.405]], "raw_formation_energy_ev_per_atom": -1.130, "spacegroup": "No. 11", "dos_at_fermi_per_ev_atom": 0.015}


No. 3
{"formula": "Pm3CoAu2", "functional": "PBE-GGA", "state": "optimized geometry", "lattice": [[6.879, -2.959, 0.000], [6.879, 2.959, 0.000], [-2.339, 0.000, 7.676]], "species": ["Pm", "Pm", "Pm", "Pm", "Pm", "Pm", "Co", "Co", "Au", "Au", "Au", "Au"], "frac_coords": [[0.000, 0.000, 0.250], [0.000, 0.000, 0.750], [0.357, 0.359, 0.929], [0.359, 0.357, 0.429], [0.641, 0.643, 0.571], [0.643, 0.641, 0.071], [0.500, 0.500, 0.250], [0.500, 0.500, 0.750], [0.176, 0.179, 0.589], [0.179, 0.176, 0.089], [0.821, 0.824, 0.911], [0.824, 0.821, 0.411]], "spacegroup": "No. 15", "dos_at_fermi_per_ev_atom": 0.614, "final_energy_ev_per_atom": -5.090}


No. 4
{"formula": "Dy2PuTl3Se6", "functional": "PBE-GGA", "state": "optimized geometry", "lattice": [[3.649, -6.320, 0.000], [3.649, 6.320, 0.000], [-2.431, 0.000, 7.733]], "species": ["Dy", "Dy", "Pu", "Tl", "Tl", "Tl", "Se", "Se", "Se", "Se", "Se", "Se"], "frac_coords": [[0.167, 0.833, 0.000], [0.833, 0.167, 0.000], [0.500, 0.500, 0.000], [0.000, 0.000, 0.500], [0.334, 0.666, 0.500], [0.666, 0.334, 0.500], [0.095, 0.432, 0.795], [0.231, 0.231, 0.204], [0.432, 0.095, 0.795], [0.568, 0.905, 0.205], [0.769, 0.769, 0.796], [0.905, 0.568, 0.205]], "raw_formation_energy_ev_per_atom": -1.280, "spacegroup": "No. 12", "dos_at_fermi_per_ev_atom": 1.048}


No. 5
{"formula": "KRe", "functional": "PBE-GGA", "state": "optimized geometry", "lattice": [[2.785, 0.000, 0.000], [-1.393, 2.412, 0.000], [0.000, 0.000, 6.026]], "species": ["K", "Re"], "frac_coords": [[0.000, 0.000, 0.000], [0.667, 0.333, 0.500]], "spacegroup": "No. 187", "dos_at_fermi_per_ev_atom": 0.725, "polymorph_energy_mev_per_atom": 574}


No. 6
{"formula": "MnAl2Pb", "functional": "PBE-GGA", "state": "optimized geometry", "lattice": [[1.553, 0.897, 9.487], [-1.553, 0.897, 9.487], [0.000, -1.794, 9.487]], "species": ["Mn", "Al", "Al", "Pb"], "frac_coords": [[0.000, 0.000, 0.000], [0.479, 0.479, 0.479], [0.734, 0.734, 0.734], [0.246, 0.246, 0.246]], "spacegroup": "No. 160", "dos_at_fermi_per_ev_atom": 0.658, "final_energy_ev_per_atom": -4.796}


No. 7
{"formula": "CeZr2PaAs4", "functional": "PBE-GGA", "state": "optimized geometry", "lattice": [[6.862, 0.000, 0.000], [0.000, 4.028, 0.000], [-2.362, 0.000, 6.567]], "species": ["Ce", "Zr", "Zr", "Pa", "As", "As", "As", "As"], "frac_coords": [[0.000, 0.000, 0.000], [0.500, 0.000, 0.500], [0.500, 0.500, 0.000], [0.000, 0.500, 0.500], [0.265, 0.000, 0.752], [0.266, 0.500, 0.258], [0.734, 0.500, 0.742], [0.735, 0.000, 0.248]], "spacegroup": "No. 10", "dos_at_fermi_per_ev_atom": 1.046, "final_energy_ev_per_atom": -7.594}


No. 8
{"formula": "Tc2Se", "functional": "PBE-GGA", "state": "optimized geometry", "lattice": [[1.460, -8.831, 0.000], [1.460, 8.831, 0.000], [0.000, 0.000, 4.369]], "species": ["Tc", "Tc", "Tc", "Tc", "Se", "Se"], "frac_coords": [[0.041, 0.959, 0.750], [0.415, 0.585, 0.750], [0.585, 0.415, 0.250], [0.959, 0.041, 0.250], [0.337, 0.663, 0.250], [0.663, 0.337, 0.750]], "raw_formation_energy_ev_per_atom": -0.098, "spacegroup": "No. 63", "dos_at_fermi_per_ev_atom": 0.717, "polymorph_energy_mev_per_atom": 0}